DFT (meta-GGA SCAN) results for LiHg2Au at its PBEsol-relaxed geometry.

a b c (Å): 3.322 3.494 6.355
angles (deg): 90.00 90.00 90.00
Fractional positions:
1 Au 0.500 0.500 0.722
2 Hg 0.000 0.000 0.980
3 Hg 0.500 0.500 0.277
4 Li 0.000 0.000 0.521

Computed properties:
**E_form**: -1.0 eV/f.u.
**E_tot**: -52.229 eV/atom
**Symmetry**: Pmm2, No. 25
**Magnetization**: 0.00 μB/cell